Record 1
# Tb2Sm5Er4

A relaxed structure of Tb2Sm5Er4 (PBE, Alexandria via LeMat-Bulk).

Calculated total energy (eV per atom): -4.562
Calculated formation energy (kJ per mole of atoms): 8
Distance to the lowest polymorph of the same formula (kcal/mol of atoms): 0.00

abc: 6.6098 8.8521 9.1247
angles: 67.71 67.85 47.50
Last column: nearest neighbours and their distance in Å.
Fractional coordinates of all 11 atoms:
Tb  0.2844  0.0913  0.7056  3 Sm 3.36-3.68, 4 Er 3.38-3.67
Tb  0.7156  0.9087  0.2944  3 Sm 3.36-3.68, 4 Er 3.38-3.67
Sm  0.5958  0.1818  0.8656  4 Sm 3.42-3.57, 3 Er 3.44-3.58, 3 Tb 3.52-3.80
Sm  0.4042  0.8182  0.1344  4 Sm 3.42-3.57, 3 Er 3.44-3.58, 3 Tb 3.52-3.80
Sm  0.0000  0.0000  0.5000  4 Sm 3.52-3.71, 6 Er 3.64-3.88, 2 Tb 3.68
Sm  0.2380  0.7055  0.8929  1 Tb 3.36, 4 Er 3.39-3.57, 5 Sm 3.42-3.71
Sm  0.7620  0.2945  0.1071  1 Tb 3.36, 4 Er 3.39-3.57, 5 Sm 3.42-3.71
Er  0.2989  0.4783  0.4494  4 Er 3.32-3.48, 2 Tb 3.38-3.40, 3 Sm 3.42-3.64
Er  0.7011  0.5217  0.5506  4 Er 3.32-3.48, 2 Tb 3.38-3.40, 3 Sm 3.42-3.64
Er  0.8916  0.6029  0.8034  3 Er 3.32-3.69, 5 Sm 3.39-3.58, 2 Tb 3.45-3.67
Er  0.1084  0.3971  0.1966  3 Er 3.32-3.69, 5 Sm 3.39-3.58, 2 Tb 3.45-3.67


Record 2
# Tb9SmEr2

A relaxed structure of Tb9SmEr2 (PBE, Alexandria via LeMat-Bulk).

Calculated total energy (eV per atom): -4.587
Calculated formation energy (kJ per mole of atoms): 4
Distance to the lowest polymorph of the same formula (kcal/mol of atoms): 0.46

abc: 3.5035 11.2455 11.2455
angles: 120.00 90.00 90.00
Last column: nearest neighbours and their distance in Å.
Fractional coordinates of all 12 atoms:
Tb  0.0000  0.0000  0.5000  2 Er 3.25, 10 Tb 3.50-3.60
Tb  0.0000  0.5000  0.5000  2 Er 3.25, 10 Tb 3.50-3.60
Tb  0.0000  0.5000  0.0000  2 Er 3.25, 10 Tb 3.50-3.60
Tb  0.5000  0.3546  0.1773  8 Tb 3.45-3.60, 2 Er 3.51
Tb  0.5000  0.1773  0.8227  8 Tb 3.45-3.60, 2 Er 3.51
Tb  0.5000  0.1773  0.3546  8 Tb 3.45-3.60, 2 Er 3.51
Tb  0.5000  0.8227  0.6454  8 Tb 3.45-3.60, 2 Er 3.51
Tb  0.5000  0.8227  0.1773  8 Tb 3.45-3.60, 2 Er 3.51
Tb  0.5000  0.6454  0.8227  8 Tb 3.45-3.60, 2 Er 3.51
Sm  0.0000  0.0000  0.0000  2 Sm 3.50, 12 Tb 3.87
Er  0.0000  0.3333  0.6667  9 Tb 3.25-3.51, 2 Er 3.50
Er  0.0000  0.6667  0.3333  9 Tb 3.25-3.51, 2 Er 3.50